[1]
NbBiTe2I | PBEsol | relaxed

Output
As for the density: 7.262 g cm⁻³. Its space group is P4/mmm (123). The value obtained for the uncorrected formation energy is 265 meV/atom. The value obtained for the energy is -22.60 eV/cell.

Cell lengths 5.3794, 5.3794, 5.4049 Å; angles 90.00, 90.00, 90.00 degrees
Element x y z (fractional)
Nb: 0.0000 0.0000 0.0000
Bi: 0.5000 0.5000 0.5000
Te: 0.0000 0.5000 0.0000
Te: 0.5000 0.0000 0.0000
I: 0.0000 0.0000 0.5000

[2]
SiNi2Ru | PBEsol | relaxed

Output
As for the density: 8.868 g cm⁻³. Its space group is Amm2 (38). The value obtained for the uncorrected formation energy is -292 meV/atom. The value obtained for the energy is -29.40 eV/cell.

Cell lengths 3.7160, 4.8472, 4.8472 Å; angles 31.92, 90.00, 90.00 degrees
Element x y z (fractional)
Si: 0.0000 0.0000 0.0000
Ni: 0.0000 0.7408 0.7408
Ni: 0.5000 0.1387 0.1387
Ru: 0.5000 0.4000 0.4000

[3]
CaCu2As | PBEsol | relaxed

Output
As for the density: 6.084 g cm⁻³. Its space group is I4/mmm (139). The calculation puts the energy relative to the elements at -0.136 eV per atom. The value obtained for the energy is -16.45 eV/cell.

Cell lengths 4.8415, 4.8415, 4.8415 Å; angles 129.39, 129.39, 74.39 degrees
Element x y z (fractional)
Ca: 0.0000 0.0000 0.0000
Cu: 0.2500 0.7500 0.5000
Cu: 0.7500 0.2500 0.5000
As: 0.5000 0.5000 0.0000

[4]
K2TlAg | PBEsol | relaxed

Output
As for the distance to the lowest polymorph of the same formula: 27 meV per atom. As for the density: 4.693 g cm⁻³. Its space group is Imm2 (44). The calculation puts the energy relative to the elements at 0.044 eV per atom. The value obtained for the energy is -8.03 eV/cell.

Cell lengths 6.6774, 6.6774, 6.6774 Å; angles 143.16, 128.35, 65.11 degrees
Element x y z (fractional)
K: 0.0000 0.0000 0.0000
K: 0.6997 0.1997 0.5000
Tl: 0.2779 0.7779 0.5000
Ag: 0.4383 0.4383 0.0000

[5]
GeIBr | PBEsol | relaxed

Output
As for the density: 4.858 g cm⁻³. Its space group is P3m1 (156). The value obtained for the uncorrected formation energy is -430 meV/atom. The value obtained for the energy is -9.87 eV/cell.

Cell lengths 4.0809, 4.0809, 6.6232 Å; angles 90.00, 90.00, 120.00 degrees
Element x y z (fractional)
Ge: 0.0000 0.0000 0.0000
I: 0.3333 0.6667 0.2699
Br: 0.6667 0.3333 0.7670

[6]
Sr4Te3Cl4O8 | PBEsol | relaxed

Output
As for the density: 4.492 g cm⁻³. Its space group is C2 (5). The value obtained for the uncorrected formation energy is -2030 meV/atom. The value obtained for the energy is -213.08 eV/cell.

Cell lengths 8.6508, 8.6508, 16.5992 Å; angles 107.46, 107.46, 39.04 degrees
Element x y z (fractional)
Sr: 0.0532 0.0532 0.1836
Sr: 0.1387 0.1798 0.4424
Sr: 0.2692 0.2546 0.7022
Sr: 0.3272 0.3964 0.9590
Sr: 0.6036 0.6728 0.0410
Sr: 0.7454 0.7308 0.2978
Sr: 0.8202 0.8613 0.5576
Sr: 0.9468 0.9468 0.8164
Te: 0.2511 0.2856 0.1717
Te: 0.3608 0.3750 0.4231
Te: 0.4730 0.4609 0.6741
Te: 0.5391 0.5270 0.3259
Te: 0.6250 0.6392 0.5769
Te: 0.7144 0.7489 0.8283
Cl: 0.0180 0.1776 0.7452
Cl: 0.0560 0.9440 0.0000
Cl: 0.0864 0.9136 0.5000
Cl: 0.2207 0.1664 0.9775
Cl: 0.4996 0.4842 0.1269
Cl: 0.5158 0.5004 0.8731
Cl: 0.8224 0.9820 0.2548
Cl: 0.8336 0.7793 0.0225
O: 0.0345 0.5844 0.8285
O: 0.0539 0.5355 0.4388
O: 0.1525 0.6430 0.6845
O: 0.2224 0.3827 0.2920
O: 0.3570 0.8475 0.3155
O: 0.4156 0.9655 0.1715
O: 0.4645 0.9461 0.5612
O: 0.4845 0.3447 0.5548
O: 0.5273 0.0545 0.4197
O: 0.5694 0.0650 0.8452
O: 0.6173 0.7776 0.7080
O: 0.6280 0.1612 0.6964
O: 0.6553 0.5155 0.4452
O: 0.8388 0.3720 0.3036
O: 0.9350 0.4306 0.1548
O: 0.9455 0.4727 0.5803

[7]
Ti5Se4 | PBEsol | relaxed

Output
As for the density: 5.852 g cm⁻³. Its space group is I4/m (87). The value obtained for the uncorrected formation energy is -1132 meV/atom. The value obtained for the energy is -67.20 eV/cell.

Cell lengths 6.9936, 6.9936, 6.9936 Å; angles 93.44, 93.44, 151.64 degrees
Element x y z (fractional)
Ti: 0.0000 0.0000 0.0000
Ti: 0.3061 0.3709 0.6770
Ti: 0.3709 0.6939 0.0647
Ti: 0.6291 0.3061 0.9353
Ti: 0.6939 0.6291 0.3230
Se: 0.0561 0.2740 0.3300
Se: 0.2740 0.9439 0.2179
Se: 0.7260 0.0561 0.7821
Se: 0.9439 0.7260 0.6700

[8]
SrP2SN | PBEsol | relaxed

Output
As for the density: 1.586 g cm⁻³. Its space group is P4/mmm (123). The value obtained for the uncorrected formation energy is 2110 meV/atom. The value obtained for the energy is -15.79 eV/cell.

Cell lengths 6.0785, 6.0785, 5.5433 Å; angles 90.00, 90.00, 90.00 degrees
Element x y z (fractional)
Sr: 0.0000 0.0000 0.0000
P: 0.0000 0.5000 0.0000
P: 0.5000 0.0000 0.0000
S: 0.0000 0.0000 0.5000
N: 0.5000 0.5000 0.5000

[9]
MgCdGa2 | PBEsol | relaxed

Output
As for the density: 5.892 g cm⁻³. Its space group is Fm-3m (225). The calculation puts the energy relative to the elements at -0.016 eV per atom. The value obtained for the energy is -9.66 eV/cell.

Cell lengths 4.7923, 4.7923, 4.7923 Å; angles 60.00, 60.00, 60.00 degrees
Element x y z (fractional)
Mg: 0.0000 0.0000 0.0000
Cd: 0.5000 0.5000 0.5000
Ga: 0.2500 0.2500 0.2500
Ga: 0.7500 0.7500 0.7500

[10]
Li4Mn3WO8 | PBEsol | relaxed

Output
As for the density: 5.515 g cm⁻³. Its space group is R-3m (166). The value obtained for the uncorrected formation energy is -1762 meV/atom. The value obtained for the energy is -121.14 eV/cell.

Cell lengths 5.9342, 5.9342, 5.9342 Å; angles 61.24, 61.24, 61.24 degrees
Element x y z (fractional)
Li: 0.0000 0.0000 0.0000
Li: 0.0000 0.5000 0.5000
Li: 0.5000 0.0000 0.5000
Li: 0.5000 0.5000 0.0000
Mn: 0.0000 0.0000 0.5000
Mn: 0.0000 0.5000 0.0000
Mn: 0.5000 0.0000 0.0000
W: 0.5000 0.5000 0.5000
O: 0.2362 0.2362 0.2362
O: 0.2655 0.2655 0.7266
O: 0.2655 0.7266 0.2655
O: 0.2734 0.7345 0.7345
O: 0.7266 0.2655 0.2655
O: 0.7345 0.2734 0.7345
O: 0.7345 0.7345 0.2734
O: 0.7638 0.7638 0.7638

[11]
LiTc2Sb | PBEsol | relaxed

Output
As for the density: 8.813 g cm⁻³. Its space group is Cm (8). The value obtained for the uncorrected formation energy is 209 meV/atom. The value obtained for the energy is -28.22 eV/cell.

Cell lengths 4.5118, 4.5118, 4.8691 Å; angles 97.66, 97.66, 38.57 degrees
Element x y z (fractional)
Li: 0.0000 0.0000 0.0000
Tc: 0.5023 0.5023 0.4742
Tc: 0.7557 0.7557 0.2685
Sb: 0.2475 0.2475 0.7713

[12]
CaLa2TiO6 | PBEsol | relaxed

Output
As for the density: 5.720 g cm⁻³. Its space group is R-3 (148). The value obtained for the uncorrected formation energy is -3305 meV/atom. The value obtained for the energy is -85.69 eV/cell.

Cell lengths 5.6593, 5.6593, 5.6593 Å; angles 62.05, 62.05, 62.05 degrees
Element x y z (fractional)
Ca: 0.0000 0.0000 0.0000
La: 0.2616 0.2616 0.2616
La: 0.7384 0.7384 0.7384
Ti: 0.5000 0.5000 0.5000
O: 0.1689 0.7106 0.3688
O: 0.2894 0.6312 0.8311
O: 0.3688 0.1689 0.7106
O: 0.6312 0.8311 0.2894
O: 0.7106 0.3688 0.1689
O: 0.8311 0.2894 0.6312